No. 1
The following is a DFT calculation (PBE) of a geometry-optimized Ac2PmPrBi5 structure.

Summary:
E_form: -0.22 eV/atom

Cell and atoms, written as extended XYZ:
```
9
Lattice="5.641 0.000 0.000 0.000 5.641 0.000 0.000 0.000 12.295" Properties=species:S:1:pos:R:3 pbc="T T T"
Ac 0.000 0.000 2.711
Ac 0.000 0.000 9.584
Pm 2.821 2.821 6.147
Pr 2.821 2.821 0.000
Bi 0.000 0.000 6.147
Bi 0.000 2.821 0.000
Bi 2.821 0.000 0.000
Bi 2.821 2.821 3.141
Bi 2.821 2.821 9.154
```



No. 2
The following is a DFT calculation (PBE) of a geometry-optimized AcPmPrBi structure.

Summary:
E_form: -0.23 eV/atom

Cell and atoms, written as extended XYZ:
```
4
Lattice="0.000 4.066 4.066 4.066 0.000 4.066 4.066 4.066 0.000" Properties=species:S:1:pos:R:3 pbc="T T T"
Ac 0.000 0.000 0.000
Pm 6.099 6.099 6.099
Pr 2.033 2.033 2.033
Bi 4.066 4.066 4.066
```



No. 3
The following is a DFT calculation (PBE) of a geometry-optimized AcPm2PrBi4 structure.

Summary:
E_form: -0.95 eV/atom

Cell and atoms, written as extended XYZ:
```
8
Lattice="8.091 0.000 0.000 0.000 4.674 0.000 -2.693 0.000 7.632" Properties=species:S:1:pos:R:3 pbc="T T T"
Ac 0.000 0.000 0.000
Pm 2.699 0.000 3.816
Pm 4.045 2.337 0.000
Pr -1.347 2.337 3.816
Bi 0.074 0.000 5.703
Bi 1.422 2.337 1.981
Bi 3.976 2.337 5.651
Bi 5.323 0.000 1.929
```



No. 4
The following is a DFT calculation (PBE) of a geometry-optimized AcPmBiPt structure.

Summary:
E_form: -0.72 eV/atom

Cell and atoms, written as extended XYZ:
```
4
Lattice="0.000 3.892 3.892 3.892 0.000 3.892 3.892 3.892 0.000" Properties=species:S:1:pos:R:3 pbc="T T T"
Ac 0.000 0.000 0.000
Pm 3.892 3.892 3.892
Bi 1.946 1.946 1.946
Pt 5.838 5.838 5.838
```



No. 5
The following is a DFT calculation (PBE) of a geometry-optimized AcPmPuBi structure.

Summary:
E_form: -0.05 eV/atom

Cell and atoms, written as extended XYZ:
```
4
Lattice="0.000 4.007 4.007 4.007 0.000 4.007 4.007 4.007 0.000" Properties=species:S:1:pos:R:3 pbc="T T T"
Ac 0.000 0.000 0.000
Pm 2.004 2.004 2.004
Pu 6.011 6.011 6.011
Bi 4.007 4.007 4.007
```



No. 6
The following is a DFT calculation (PBE) of a geometry-optimized AcPmSiBi structure.

Summary:
Uncorrected formation energy: -426 meV/atom

Cell and atoms, written as extended XYZ:
```
4
Lattice="0.000 3.931 3.931 3.931 0.000 3.931 3.931 3.931 0.000" Properties=species:S:1:pos:R:3 pbc="T T T"
Ac 0.000 0.000 0.000
Pm 3.931 3.931 3.931
Si 5.897 5.897 5.897
Bi 1.966 1.966 1.966
```



No. 7
The following is a DFT calculation (PBE) of a geometry-optimized Ac2PmSmBi5 structure.

Summary:
E_form: -0.28 eV/atom

Cell and atoms, written as extended XYZ:
```
9
Lattice="5.562 0.000 0.000 0.000 5.562 0.000 0.000 0.000 12.264" Properties=species:S:1:pos:R:3 pbc="T T T"
Ac 0.000 0.000 2.700
Ac 0.000 0.000 9.564
Pm 2.781 2.781 6.132
Sm 2.781 2.781 0.000
Bi 0.000 0.000 6.132
Bi 0.000 2.781 0.000
Bi 2.781 0.000 0.000
Bi 2.781 2.781 3.111
Bi 2.781 2.781 9.153
```



No. 8
The following is a DFT calculation (PBE) of a geometry-optimized AcPmSm2Bi4 structure.

Summary:
E_form: -0.93 eV/atom

Cell and atoms, written as extended XYZ:
```
8
Lattice="8.048 0.000 0.000 0.000 4.650 0.000 -2.679 0.000 7.592" Properties=species:S:1:pos:R:3 pbc="T T T"
Ac 0.000 0.000 0.000
Pm -1.339 2.325 3.796
Sm 2.685 0.000 3.796
Sm 4.024 2.325 0.000
Bi 0.070 0.000 5.656
Bi 1.412 2.325 1.984
Bi 3.958 2.325 5.608
Bi 5.299 0.000 1.936
```



For reference, theoretical density by record: 7.58 8.91 8.59 10.93 10.65 8.32 7.85 8.82 Mg/m³.
For reference, Fermi-level density of states by record: 7.169 2.844 1.056 4.533 14.060 4.562 7.043 1.060 states/eV per cell.